## Pr3InRh (GGA-PBE)

Data for crystalline Pr3InRh at its relaxed geometry.

The value obtained for the formation energy is -0.435 eV per atom.

The space group is C2/m (No. 12) and the conventional cell measures 16.339, 4.086 and 10.890 Å, with angles of 90.00, 124.09 and 90.00 degrees. Symmetry generates all atoms from Pr at (0.085, 0.000, 0.450), Pr at (0.135, 0.500, 0.218), Pr at (0.168, 0.500, 0.798), In at (0.074, 0.000, 0.927) and Rh at (0.231, 0.500, 0.577).


## BaLi4Cr (GGA-PBE)

Data for crystalline BaLi4Cr at its relaxed geometry.

The value obtained for the formation energy is 0.292 eV per atom.

The space group is F-43m (No. 216) and the conventional cell measures 8.431, 8.431 and 8.431 Å, with angles of 90.00, 90.00 and 90.00 degrees. Symmetry generates all atoms from Ba at (0.000, 0.000, 0.000), Li at (0.121, 0.121, 0.379) and Cr at (0.250, 0.250, 0.750).


## TmPu2Sb (GGA-PBE)

Data for crystalline TmPu2Sb at its relaxed geometry.

The formation energy from raw total energies comes out at -105 meV/atom.

The space group is Fm-3m (No. 225) and the conventional cell measures 7.556, 7.556 and 7.556 Å, with angles of 90.00, 90.00 and 90.00 degrees. Symmetry generates all atoms from Tm at (0.000, 0.000, 0.000), Pu at (0.250, 0.250, 0.250) and Sb at (0.000, 0.000, 0.500).


## LiDy3Tl (GGA-PBE)

Data for crystalline LiDy3Tl at its relaxed geometry.

The value obtained for the formation energy is -0.061 eV per atom.

The space group is P2_1/m (No. 11) and the conventional cell measures 4.893, 6.669 and 9.020 Å, with angles of 90.00, 105.73 and 90.00 degrees. Symmetry generates all atoms from Li at (0.005, 0.250, 0.011), Dy at (0.214, 0.250, 0.429), Dy at (0.398, 0.002, 0.797) and Tl at (0.176, 0.750, 0.351).


## Eu3S4 (GGA-PBE)

Data for crystalline Eu3S4 at its relaxed geometry.

The formation energy from raw total energies comes out at -1860 meV/atom.

The space group is I-43d (No. 220) and the conventional cell measures 8.599, 8.599 and 8.599 Å, with angles of 90.00, 90.00 and 90.00 degrees. Symmetry generates all atoms from Eu at (0.000, 0.250, 0.375) and S at (0.073, 0.073, 0.073).


## YCI2 (GGA-PBE)

Data for crystalline YCI2 at its relaxed geometry.

The formation energy from raw total energies comes out at 1109 meV/atom.

The space group is I-42d (No. 122) and the conventional cell measures 6.046, 6.046 and 13.724 Å, with angles of 90.00, 90.00 and 90.00 degrees. Symmetry generates all atoms from Y at (0.000, 0.000, 0.000), C at (0.000, 0.000, 0.500) and I at (0.178, 0.250, 0.625).


Taking the records one at a time from the top gives mass density values of 7.1; 2.4; 12.0; 8.2; 6.1; 4.7 Mg/m³.